The following is a DFT calculation (PBE-GGA) of a relaxed structure of Tb5Pm3Ru2.

Geometry as POSCAR:
```
Tb5Pm3Ru2
1.0
6.824 0.000 0.000
3.412 9.366 -0.548
3.412 1.957 9.175
Tb Pm Ru
10 6 4
Direct
0.250 0.500 0.500 Tb
0.750 0.500 0.500 Tb
0.524 0.726 0.726 Tb
0.976 0.274 0.274 Tb
0.476 0.274 0.274 Tb
0.024 0.726 0.726 Tb
0.065 0.651 0.219 Tb
0.935 0.349 0.781 Tb
0.565 0.219 0.651 Tb
0.435 0.781 0.349 Tb
0.250 0.000 0.000 Pm
0.750 0.000 0.000 Pm
0.321 0.419 0.939 Pm
0.679 0.581 0.061 Pm
0.821 0.939 0.419 Pm
0.179 0.061 0.581 Pm
0.159 0.733 0.948 Ru
0.841 0.267 0.052 Ru
0.659 0.948 0.733 Ru
0.341 0.052 0.267 Ru
```

* formation enthalpy at 0 K: -15 meV per atom